one) # CoHOs3

A geometry-optimized CoHOs3 structure (PBE, Alexandria).

Cell lengths 3.8381, 3.8381, 3.8381 Å; angles 90.00, 90.00, 90.00 degrees
Positions (direct):
Co 0.0000 0.0000 0.0000
H 0.5000 0.5000 0.5000
Os 0.0000 0.5000 0.5000
Os 0.5000 0.0000 0.5000
Os 0.5000 0.5000 0.0000

Values from the calculation:
Space-group type = Pm-3m, No. 221

two) # CoHOs3

A geometry-optimized CoHOs3 structure (PBE, Alexandria).

Cell lengths 4.4111, 4.4111, 4.4111 Å; angles 90.00, 90.00, 90.00 degrees
Positions (direct):
Co 0.0000 0.0000 0.0000
H 0.5000 0.5000 0.5000
Os 0.0000 0.0000 0.5000
Os 0.0000 0.5000 0.0000
Os 0.5000 0.0000 0.0000

Values from the calculation:
Space-group type = Pm-3m, No. 221

The structure with the greatest stability is one).